Record 1
Here is La2YHgC after structural relaxation from Alexandria via LeMat-Bulk. Energies are from GGA-PBE.

abc: 5.260 5.260 4.872
angles: 90.00 90.00 90.00
Space group P4/mmm (No. 123)
Asymmetric unit:
La: 0.000 0.500 0.000
Y: 0.000 0.000 0.500
Hg: 0.500 0.500 0.500
C: 0.000 0.000 0.000

Output
E_form ... -275 meV per atom

---

Record 2
Here is La2ZnHgC after structural relaxation from Alexandria via LeMat-Bulk. Energies are from GGA-PBE.

abc: 5.410 5.410 4.009
angles: 90.00 90.00 90.00
Space group P4/mmm (No. 123)
Asymmetric unit:
La: 0.000 0.500 0.000
Zn: 0.000 0.000 0.500
Hg: 0.500 0.500 0.500
C: 0.000 0.000 0.000

Output
E_form ... -195 meV per atom

---

Record 3
Here is Li3HgC after structural relaxation from Alexandria via LeMat-Bulk. Energies are from GGA-PBE.

abc: 4.885 4.885 4.885
angles: 90.00 90.00 90.00
Space group Pm-3m (No. 221)
Asymmetric unit:
Li: 0.000 0.000 0.500
Hg: 0.000 0.000 0.000
C: 0.500 0.500 0.500

Output
E_form ... 1252 meV per atom

---

Record 4
Here is LiHgC2 after structural relaxation from Alexandria via LeMat-Bulk. Energies are from GGA-PBE.

abc: 6.388 6.388 4.936
angles: 90.00 90.00 90.00
Space group I-42d (No. 122)
Asymmetric unit:
Li: 0.000 0.000 0.000
Hg: 0.000 0.000 0.500
C: 0.236 0.250 0.625

Output
E_form ... 2121 meV per atom

---

Record 5
Here is LiHgC3 after structural relaxation from Alexandria via LeMat-Bulk. Energies are from GGA-PBE.

abc: 4.379 4.379 4.379
angles: 90.00 90.00 90.00
Space group Pm-3m (No. 221)
Asymmetric unit:
Li: 0.000 0.000 0.000
Hg: 0.500 0.500 0.500
C: 0.000 0.500 0.500

Output
E_form ... 3201 meV per atom

---

Record 6
Here is LiHg2C after structural relaxation from Alexandria via LeMat-Bulk. Energies are from GGA-PBE.

abc: 9.819 9.819 9.819
angles: 90.00 90.00 90.00
Space group Fd-3m (No. 227, origin choice 2)
Asymmetric unit:
Li: 0.125 0.125 0.125
Hg: 0.000 0.000 0.500
C: 0.125 0.125 0.625

Output
E_form ... 893 meV per atom

---

Record 7
Here is Li2HgC2 after structural relaxation from Alexandria via LeMat-Bulk. Energies are from GGA-PBE.

abc: 7.225 7.225 3.449
angles: 90.00 90.00 90.00
Space group P4/mbm (No. 127)
Asymmetric unit:
Li: 0.129 0.371 0.000
Hg: 0.000 0.000 0.000
C: 0.062 0.562 0.500

Output
E_form ... 353 meV per atom

---

Record 8
Here is Li3HgC after structural relaxation from Alexandria via LeMat-Bulk. Energies are from GGA-PBE.

abc: 4.146 4.146 4.146
angles: 90.00 90.00 90.00
Space group Pm-3m (No. 221)
Asymmetric unit:
Li: 0.000 0.000 0.500
Hg: 0.500 0.500 0.500
C: 0.000 0.000 0.000

Output
E_form ... 295 meV per atom

---

Record 9
Here is LiHgC3 after structural relaxation from Alexandria via LeMat-Bulk. Energies are from GGA-PBE.

abc: 3.871 3.871 3.871
angles: 90.00 90.00 90.00
Space group Pm-3m (No. 221)
Asymmetric unit:
Li: 0.000 0.000 0.000
Hg: 0.500 0.500 0.500
C: 0.000 0.000 0.500

Output
E_form ... 2939 meV per atom

---

Record 10
Here is Li2HgC2 after structural relaxation from Alexandria via LeMat-Bulk. Energies are from GGA-PBE.

abc: 2.650 2.650 16.604
angles: 90.00 90.00 90.00
Space group I4/mmm (No. 139)
Asymmetric unit:
Li: 0.000 0.000 0.147
Hg: 0.000 0.000 0.500
C: 0.000 0.500 0.250

Output
E_form ... 938 meV per atom

---

Record 11
Here is LiNi2HgC after structural relaxation from Alexandria via LeMat-Bulk. Energies are from GGA-PBE.

abc: 3.786 3.786 4.187
angles: 90.00 90.00 90.00
Space group P4/mmm (No. 123)
Asymmetric unit:
Li: 0.000 0.000 0.000
Ni: 0.000 0.500 0.500
Hg: 0.500 0.500 0.000
C: 0.000 0.000 0.500

Output
E_form ... 62 meV per atom

---

Record 12
Here is LiHgC2O6 after structural relaxation from Alexandria via LeMat-Bulk. Energies are from GGA-PBE.

abc: 4.9244 4.9244 16.1772
angles: 90.00 90.00 120.00
Space group R-3 (No. 148, hexagonal axes)
Asymmetric unit:
Li: 0.0000 0.0000 0.0000
Hg: 0.0000 0.0000 0.5000
C: 0.0000 0.0000 0.2523
O: 0.0288 0.2755 0.7477

Output
Formation energy without anion corrections ... -1.17 eV/atom

---

Record 13
Here is Li2HgC2O6 after structural relaxation from Alexandria via LeMat-Bulk. Energies are from GGA-PBE.

abc: 4.904 4.972 6.334
angles: 81.02 89.43 63.51
Space group P-1 (No. 2)
Asymmetric unit:
Li: 0.169 0.061 0.349
Hg: 0.500 0.500 0.000
C: 0.193 0.263 0.740
O: 0.034 0.490 0.236
O: 0.178 0.042 0.668
O: 0.478 0.218 0.792

Output
Formation energy without anion corrections ... -1.46 eV/atom

---

Record 14
Here is Li2HgRhC after structural relaxation from Alexandria via LeMat-Bulk. Energies are from GGA-PBE.

abc: 4.227 4.227 3.886
angles: 90.00 90.00 90.00
Space group P4/mmm (No. 123)
Asymmetric unit:
Li: 0.000 0.500 0.000
Hg: 0.000 0.000 0.500
Rh: 0.500 0.500 0.500
C: 0.500 0.500 0.000

Output
E_form ... 8 meV per atom

---

Record 15
Here is Sr2LiHgC after structural relaxation from Alexandria via LeMat-Bulk. Energies are from GGA-PBE.

abc: 5.667 5.667 3.879
angles: 90.00 90.00 90.00
Space group P4/mmm (No. 123)
Asymmetric unit:
Sr: 0.000 0.500 0.000
Li: 0.000 0.000 0.000
Hg: 0.500 0.500 0.500
C: 0.000 0.000 0.500

Output
E_form ... 458 meV per atom

---

Record 16
Here is LiTi2HgC after structural relaxation from Alexandria via LeMat-Bulk. Energies are from GGA-PBE.

abc: 4.195 4.195 4.202
angles: 90.00 90.00 90.00
Space group P4/mmm (No. 123)
Asymmetric unit:
Li: 0.000 0.000 0.000
Ti: 0.000 0.500 0.500
Hg: 0.500 0.500 0.000
C: 0.000 0.000 0.500

Output
E_form ... -233 meV per atom

---

Record 17
Here is Li2TiHgC after structural relaxation from Alexandria via LeMat-Bulk. Energies are from GGA-PBE.

abc: 4.866 4.866 4.003
angles: 90.00 90.00 90.00
Space group P4/mmm (No. 123)
Asymmetric unit:
Li: 0.000 0.500 0.000
Ti: 0.000 0.000 0.500
Hg: 0.500 0.500 0.000
C: 0.500 0.500 0.500

Output
E_form ... 1273 meV per atom

---

Record 18
Here is Lu4Hg2C after structural relaxation from Alexandria via LeMat-Bulk. Energies are from GGA-PBE.

abc: 4.754 4.754 14.661
angles: 90.00 90.00 90.00
Space group I4/mmm (No. 139)
Asymmetric unit:
Lu: 0.000 0.000 0.166
Lu: 0.000 0.500 0.000
Hg: 0.000 0.000 0.367
C: 0.000 0.000 0.000

Output
E_form ... -366 meV per atom

---

Record 19
Here is Lu2HgC after structural relaxation from Alexandria via LeMat-Bulk. Energies are from GGA-PBE.

abc: 3.5279 3.5279 22.9743
angles: 90.00 90.00 120.00
Space group R-3m (No. 166, hexagonal axes)
Asymmetric unit:
Lu: 0.0000 0.0000 0.2235
Hg: 0.0000 0.0000 0.0000
C: 0.0000 0.0000 0.5000

Output
E_form ... -447 meV per atom

---

Record 20
Here is MgHgC after structural relaxation from Alexandria via LeMat-Bulk. Energies are from GGA-PBE.

abc: 5.914 3.431 10.965
angles: 90.00 100.29 90.00
Space group Cm (No. 8)
Asymmetric unit:
Mg: 0.000 0.000 0.000
Mg: 0.106 0.000 0.321
Hg: 0.008 0.500 0.540
Hg: 0.257 0.000 0.780
C: 0.200 0.500 0.101
C: 0.239 0.500 0.220

Output
E_form ... 238 meV per atom

---

Record 21
Here is MgHg3C after structural relaxation from Alexandria via LeMat-Bulk. Energies are from GGA-PBE.

abc: 5.529 5.529 5.529
angles: 90.00 90.00 90.00
Space group Pm-3m (No. 221)
Asymmetric unit:
Mg: 0.000 0.000 0.000
Hg: 0.000 0.000 0.500
C: 0.500 0.500 0.500

Output
E_form ... 1445 meV per atom

---

Record 22
Here is Mg2HgC after structural relaxation from Alexandria via LeMat-Bulk. Energies are from GGA-PBE.

abc: 6.692 6.692 9.462
angles: 90.00 90.00 90.00
Space group I-42d (No. 122)
Asymmetric unit:
Mg: 0.008 0.750 0.125
Hg: 0.000 0.000 0.500
C: 0.000 0.000 0.000

Output
E_form ... 455 meV per atom

---

Record 23
Here is MgHgC after structural relaxation from Alexandria via LeMat-Bulk. Energies are from GGA-PBE.

abc: 3.868 3.873 8.979
angles: 102.39 100.71 93.47
Space group P1 (No. 1)
Asymmetric unit:
Mg: 0.000 0.000 0.000
Mg: 0.409 0.279 0.676
Hg: 0.195 0.154 0.349
Hg: 0.564 0.561 0.126
C: 0.721 0.788 0.736
C: 0.960 0.026 0.737

Output
E_form ... 265 meV per atom

---

Record 24
Here is MgHgC2 after structural relaxation from Alexandria via LeMat-Bulk. Energies are from GGA-PBE.

abc: 5.937 5.937 5.937
angles: 90.00 90.00 90.00
Space group Fm-3m (No. 225)
Asymmetric unit:
Mg: 0.000 0.000 0.000
Hg: 0.000 0.000 0.500
C: 0.250 0.250 0.250

Output
E_form ... 1961 meV per atom

---

Record 25
Here is Mg2HgC after structural relaxation from Alexandria via LeMat-Bulk. Energies are from GGA-PBE.

abc: 6.435 6.435 6.435
angles: 90.00 90.00 90.00
Space group Fm-3m (No. 225)
Asymmetric unit:
Mg: 0.250 0.250 0.250
Hg: 0.000 0.000 0.000
C: 0.000 0.000 0.500

Output
E_form ... 775 meV per atom

---

Record 26
Here is MgHgC2 after structural relaxation from Alexandria via LeMat-Bulk. Energies are from GGA-PBE.

abc: 3.993 3.993 14.445
angles: 90.00 90.00 90.00
Space group I-42d (No. 122)
Asymmetric unit:
Mg: 0.000 0.000 0.000
Hg: 0.000 0.000 0.500
C: 0.157 0.250 0.125

Output
E_form ... 1852 meV per atom

---

Record 27
Here is MgHg3C after structural relaxation from Alexandria via LeMat-Bulk. Energies are from GGA-PBE.

abc: 4.836 4.836 4.836
angles: 90.00 90.00 90.00
Space group Pm-3m (No. 221)
Asymmetric unit:
Mg: 0.000 0.000 0.000
Hg: 0.000 0.500 0.500
C: 0.500 0.500 0.500

Output
E_form ... 935 meV per atom